# GdDy2Ge

A relaxed structure of GdDy2Ge (PBE, the Alexandria database).

Output
crystal system = trigonal
calculated volume = 29.4 Å³/atom
distance to the lowest polymorph of the same formula = 0.113 eV/atom
DFT formation energy = -227 meV/atom

Unit cell a=3.6913 b=3.6913 c=29.8530 alpha=90.00 beta=90.00 gamma=120.00
Closest atoms and distances in Å follow each position.
Space group R-3m (No. 166, hexagonal axes)
One atom of each set of equivalent atoms:
Gd 0.0000 0.0000 0.0000 [3 per cell]  6 Dy 3.68, 6 Gd 3.69
Dy 0.0000 0.0000 0.2330 [6 per cell]  3 Ge 2.91
Ge 0.0000 0.0000 0.5000 [3 per cell]  6 Dy 2.91

=====

# AgSb2Br

A relaxed structure of AgSb2Br (PBE, the Alexandria database).

Output
crystal system = trigonal
calculated volume = 29.5 Å³/atom
distance to the lowest polymorph of the same formula = 0.126 eV/atom

Unit cell a=4.4852 b=4.4852 c=20.3211 alpha=90.00 beta=90.00 gamma=120.00
Closest atoms and distances in Å follow each position.
Space group R-3m (No. 166, hexagonal axes)
One atom of each set of equivalent atoms:
Ag 0.0000 0.0000 0.0000 [3 per cell]  6 Sb 2.81
Sb 0.0000 0.0000 0.2791 [6 per cell]  3 Ag 2.81
Br 0.0000 0.0000 0.5000 [3 per cell]  6 Sb 3.45

=====

# TiAlAg

A relaxed structure of TiAlAg (PBE, the Alexandria database).

Output
crystal system = monoclinic
calculated volume = 16.8 Å³/atom
DFT formation energy = -155 meV/atom

Unit cell a=8.8777 b=4.0209 c=5.8366 alpha=90.00 beta=104.97 gamma=90.00
Closest atoms and distances in Å follow each position.
Space group Cm (No. 8)
One atom of each set of equivalent atoms:
Ti 0.0000 0.0000 0.0000 [2 per cell]  2 Ti 2.80, 6 Al 2.81-2.90, 4 Ag 2.91-2.96
Ti 0.1566 0.5000 0.3025 [2 per cell]  5 Al 2.78-3.04, 2 Ti 2.80, 5 Ag 2.88-3.01
Al 0.1625 0.5000 0.8253 [2 per cell]  5 Ag 2.75-2.93, 5 Ti 2.80-3.04, 2 Al 2.92
Al 0.3283 0.0000 0.1583 [2 per cell]  6 Ti 2.78-2.82, 4 Ag 2.86-2.98, 2 Al 2.92
Ag 0.3210 0.0000 0.6661 [2 per cell]  5 Al 2.75-2.98, 3 Ag 2.84-2.85, 4 Ti 2.96-3.01
Ag 0.4903 0.5000 0.4939 [2 per cell]  3 Ag 2.84-2.85, 5 Ti 2.88-2.93, 4 Al 2.91-2.93

=====

# Mg4PCl

A relaxed structure of Mg4PCl (PBE, the Alexandria database).

Output
crystal system = cubic
E_tot = -2.244 eV per atom
calculated volume = 21.9 Å³/atom

Unit cell a=8.0725 b=8.0725 c=8.0725 alpha=90.00 beta=90.00 gamma=90.00
Closest atoms and distances in Å follow each position.
Space group F-43m (No. 216)
One atom of each set of equivalent atoms:
Mg 0.1233 0.1233 0.1233 [16 per cell]  6 Mg 2.81-2.89
P 0.2500 0.2500 0.7500 [4 per cell]  12 Mg 3.34, 4 Cl 3.50
Cl 0.0000 0.0000 0.5000 [4 per cell]  12 Mg 3.35, 4 P 3.50

=====

# CdP2Pb

A relaxed structure of CdP2Pb (PBE, the Alexandria database).

Output
crystal system = cubic
calculated volume = 21.6 Å³/atom
DFT formation energy = 579 meV/atom

Unit cell a=7.0155 b=7.0155 c=7.0155 alpha=90.00 beta=90.00 gamma=90.00
Closest atoms and distances in Å follow each position.
Space group F-43m (No. 216)
One atom of each set of equivalent atoms:
Cd 0.0000 0.0000 0.0000 [4 per cell]  4 Pb 3.04, 4 P 3.04
P 0.0000 0.0000 0.5000 [4 per cell]  4 Pb 3.04, 4 P 3.04
P 0.2500 0.2500 0.7500 [4 per cell]  4 Cd 3.04, 4 P 3.04
Pb 0.2500 0.2500 0.2500 [4 per cell]  4 Cd 3.04, 4 P 3.04

=====

# PrCd9Ag2

A relaxed structure of PrCd9Ag2 (PBE, the Alexandria database).

Output
crystal system = hexagonal
calculated volume = 22.5 Å³/atom
distance to the lowest polymorph of the same formula = 0.038 eV/atom
DFT formation energy = -116 meV/atom

Unit cell a=9.6625 b=9.6625 c=3.3350 alpha=90.00 beta=90.00 gamma=120.00
Closest atoms and distances in Å follow each position.
Space group P6/mmm (No. 191)
One atom of each set of equivalent atoms:
Pr 0.0000 0.0000 0.0000 [1 per cell]  2 Pr 3.34, 12 Cd 3.48
Cd 0.0000 0.5000 0.0000 [3 per cell]  2 Ag 2.79
Cd 0.1823 0.3646 0.5000 [6 per cell]  2 Ag 3.03, 8 Cd 3.05-3.34
Ag 0.3333 0.6667 0.0000 [2 per cell]  9 Cd 2.79-3.03

=====

# CeThSbO2

A relaxed structure of CeThSbO2 (PBE, the Alexandria database).

Output
crystal system = tetragonal
E_tot = -8.184 eV per atom
calculated volume = 20.8 Å³/atom

Unit cell a=4.0298 b=4.0298 c=12.8247 alpha=90.00 beta=90.00 gamma=90.00
Closest atoms and distances in Å follow each position.
Space group I4mm (No. 107)
One atom of each set of equivalent atoms:
Ce 0.0000 0.0000 0.0000 [2 per cell]  4 O 2.42
Th 0.0000 0.0000 0.3023 [2 per cell]  4 O 2.34
Sb 0.0000 0.0000 0.6495 [2 per cell]  4 Ce 3.43, 4 Th 3.46, 8 O 3.74-3.83
O 0.0000 0.5000 0.3955 [4 per cell]  2 Th 2.34, 2 Ce 2.42

=====

# AlAu

A relaxed structure of AlAu (PBE, the Alexandria database).

Output
crystal system = cubic
calculated volume = 24.4 Å³/atom
DFT formation energy = -42 meV/atom

Unit cell a=5.8000 b=5.8000 c=5.8000 alpha=90.00 beta=90.00 gamma=90.00
Closest atoms and distances in Å follow each position.
Space group F-43m (No. 216)
One atom of each set of equivalent atoms:
Al 0.0000 0.0000 0.0000 [4 per cell]  4 Au 2.51
Au 0.2500 0.2500 0.7500 [4 per cell]  4 Al 2.51

=====

# Er8Mg2Pt

A relaxed structure of Er8Mg2Pt (PBE, the Alexandria database).

Output
crystal system = monoclinic
calculated volume = 27.8 Å³/atom
DFT formation energy = -197 meV/atom

Unit cell a=17.4718 b=5.3749 c=6.9812 alpha=90.00 beta=110.85 gamma=90.00
Closest atoms and distances in Å follow each position.
Space group C2/m (No. 12)
One atom of each set of equivalent atoms:
Er 0.0164 0.0000 0.2781 [4 per cell]  1 Mg 3.14, 2 Pt 3.17, 5 Er 3.34-3.47
Er 0.0977 0.5000 0.9198 [4 per cell]  1 Pt 2.82
Er 0.1497 0.5000 0.4394 [4 per cell]  1 Pt 2.79, 1 Mg 3.12
Er 0.1961 0.0000 0.7692 [4 per cell]  3 Mg 3.09-3.38, 2 Er 3.44
Mg 0.1821 0.0000 0.1979 [4 per cell]  9 Er 3.09-3.38
Pt 0.0000 0.5000 0.5000 [2 per cell]  4 Er 2.79-2.82

=====

# Er5Sc3Bi8

A relaxed structure of Er5Sc3Bi8 (PBE, the Alexandria database).

Output
crystal system = trigonal
calculated volume = 29.8 Å³/atom
DFT formation energy = -748 meV/atom

Unit cell a=8.7652 b=8.7652 c=21.4696 alpha=90.00 beta=90.00 gamma=120.00
Closest atoms and distances in Å follow each position.
Space group R-3m (No. 166, hexagonal axes)
One atom of each set of equivalent atoms:
Er 0.0000 0.0000 0.0000 [3 per cell]  6 Bi 3.10
Er 0.0000 0.0000 0.5000 [3 per cell]  6 Bi 3.10
Er 0.0000 0.5000 0.0000 [9 per cell]  6 Bi 3.15
Sc 0.0000 0.5000 0.5000 [9 per cell]  6 Bi 3.05
Bi 0.0000 0.0000 0.2459 [6 per cell]  3 Sc 3.05, 3 Er 3.15
Bi 0.0054 0.5027 0.7527 [18 per cell]  2 Sc 3.05, 4 Er 3.10-3.15

=====

# LiTaPCl2

A relaxed structure of LiTaPCl2 (PBE, the Alexandria database).

Output
crystal system = tetragonal
calculated volume = 23.5 Å³/atom
distance to the lowest polymorph of the same formula = 0.000 eV/atom

Unit cell a=4.9045 b=4.9045 c=4.8806 alpha=90.00 beta=90.00 gamma=90.00
Closest atoms and distances in Å follow each position.
Space group P4/mmm (No. 123)
One atom of each set of equivalent atoms:
Li 0.0000 0.0000 0.0000 [1 per cell]  8 Cl 3.46, 4 P 3.47
Ta 0.5000 0.5000 0.5000 [1 per cell]  2 P 2.44, 4 Cl 2.45
P 0.5000 0.5000 0.0000 [1 per cell]  2 Ta 2.44
Cl 0.0000 0.5000 0.5000 [2 per cell]  2 Ta 2.45

=====

# Y4HgIr

A relaxed structure of Y4HgIr (PBE, the Alexandria database).

Output
crystal system = monoclinic
calculated volume = 29.9 Å³/atom
distance to the lowest polymorph of the same formula = 0.162 eV/atom
DFT formation energy = -404 meV/atom

Unit cell a=7.3066 b=7.0474 c=6.9672 alpha=90.00 beta=92.43 gamma=90.00
Closest atoms and distances in Å follow each position.
Space group P2_1/c (No. 14)
One atom of each set of equivalent atoms:
Y 0.1429 0.1582 0.1756 [4 per cell]  2 Ir 2.76-2.88
Y 0.3193 0.6473 0.1295 [4 per cell]  1 Ir 2.67, 1 Hg 2.97
Hg 0.5000 0.0000 0.0000 [2 per cell]  6 Y 2.97-3.13
Ir 0.0000 0.0000 0.5000 [2 per cell]  6 Y 2.67-2.88

=====

# ZrVSe4

A relaxed structure of ZrVSe4 (PBE, the Alexandria database).

Output
crystal system = monoclinic
E_tot = -6.222 eV per atom
calculated volume = 25.1 Å³/atom

Unit cell a=14.7546 b=3.5984 c=6.2433 alpha=90.00 beta=114.78 gamma=90.00
Closest atoms and distances in Å follow each position.
Space group C2/m (No. 12)
One atom of each set of equivalent atoms:
Zr 0.0000 0.0000 0.0000 [2 per cell]  6 Se 2.68
V 0.0000 0.5000 0.5000 [2 per cell]  6 Se 2.55-2.57
Se 0.1156 0.0000 0.7634 [4 per cell]  2 V 2.55, 1 Zr 2.68
Se 0.1215 0.5000 0.3015 [4 per cell]  1 V 2.57, 2 Zr 2.68

=====

# ErNiBiPd

A relaxed structure of ErNiBiPd (PBE, the Alexandria database).

Output
crystal system = cubic
calculated volume = 19.4 Å³/atom
DFT formation energy = -492 meV/atom

Unit cell a=6.7744 b=6.7744 c=6.7744 alpha=90.00 beta=90.00 gamma=90.00
Closest atoms and distances in Å follow each position.
Space group F-43m (No. 216)
One atom of each set of equivalent atoms:
Er 0.0000 0.0000 0.0000 [4 per cell]  4 Ni 2.93, 4 Pd 2.93
Ni 0.2500 0.2500 0.7500 [4 per cell]  4 Bi 2.93, 4 Er 2.93
Bi 0.0000 0.0000 0.5000 [4 per cell]  4 Ni 2.93, 4 Pd 2.93
Pd 0.2500 0.2500 0.2500 [4 per cell]  4 Bi 2.93, 4 Er 2.93

=====

# K2CN

A relaxed structure of K2CN (PBE, the Alexandria database).

Output
crystal system = cubic
calculated volume = 21.5 Å³/atom
distance to the lowest polymorph of the same formula = 0.892 eV/atom

Unit cell a=7.0115 b=7.0115 c=7.0115 alpha=90.00 beta=90.00 gamma=90.00
Closest atoms and distances in Å follow each position.
Space group Fm-3m (No. 225)
One atom of each set of equivalent atoms:
K 0.2500 0.2500 0.2500 [8 per cell]  4 C 3.04, 4 N 3.04
C 0.0000 0.0000 0.0000 [4 per cell]  8 K 3.04
N 0.0000 0.0000 0.5000 [4 per cell]  8 K 3.04

=====

# Nd8GaOs3Cl4

A relaxed structure of Nd8GaOs3Cl4 (PBE, the Alexandria database).

Output
crystal system = monoclinic
E_tot = -5.966 eV per atom
calculated volume = 28.1 Å³/atom

Unit cell a=14.3868 b=8.3116 c=8.9217 alpha=90.00 beta=122.59 gamma=90.00
Closest atoms and distances in Å follow each position.
Space group C2/m (No. 12)
One atom of each set of equivalent atoms:
Nd 0.0187 0.2387 0.2957 [8 per cell]  2 Os 2.80, 1 Ga 2.94
Nd 0.2379 0.0000 0.7129 [4 per cell]  3 Os 2.88, 1 Cl 3.22
Nd 0.2425 0.5000 0.7043 [4 per cell]  2 Os 2.80, 1 Ga 2.94
Ga 0.0000 0.5000 0.5000 [2 per cell]  6 Nd 2.94
Os 0.0000 0.0000 0.5000 [2 per cell]  6 Nd 2.80-2.88
Os 0.2500 0.2500 0.5000 [4 per cell]  6 Nd 2.80-2.88
Cl 0.0000 0.0000 0.0000 [2 per cell]  6 Nd 3.19
Cl 0.0000 0.5000 0.0000 [2 per cell]  6 Nd 3.22-3.31
Cl 0.2500 0.2500 0.0000 [4 per cell]  6 Nd 3.23-3.31

=====

# Li3GaI4

A relaxed structure of Li3GaI4 (PBE, the Alexandria database).

Output
crystal system = orthorhombic
E_tot = -2.833 eV per atom
calculated volume = 38.1 Å³/atom

Unit cell a=9.8147 b=8.3673 c=7.4239 alpha=90.00 beta=90.00 gamma=90.00
Closest atoms and distances in Å follow each position.
Space group Pmn2_1 (No. 31)
One atom of each set of equivalent atoms:
Li 0.0000 0.1799 0.0000 [2 per cell]  4 I 2.77-2.84
Li 0.2479 0.6629 0.0044 [4 per cell]  4 I 2.77-2.87
Ga 0.0000 0.8375 0.6026 [2 per cell]  4 I 3.19-3.27
I 0.0000 0.2226 0.6306 [2 per cell]  3 Li 2.77-2.81
I 0.0000 0.8427 0.0433 [2 per cell]  3 Li 2.84-2.87
I 0.2189 0.3529 0.1338 [4 per cell]  3 Li 2.77-2.78

=====

# Ba2In3Au2

A relaxed structure of Ba2In3Au2 (PBE, the Alexandria database).

Output
crystal system = orthorhombic
calculated volume = 31.5 Å³/atom
DFT formation energy = -445 meV/atom

Unit cell a=4.3727 b=23.4003 c=8.6098 alpha=90.00 beta=90.00 gamma=90.00
Closest atoms and distances in Å follow each position.
Space group Cmcm (No. 63)
One atom of each set of equivalent atoms:
Ba 0.0000 0.0611 0.2500 [4 per cell]  4 Au 3.55, 9 In 3.56-3.78
Ba 0.0000 0.1710 0.7500 [4 per cell]  6 In 3.48-3.75, 4 Au 3.55
In 0.0000 0.2133 0.2500 [4 per cell]  4 Au 2.93
In 0.0000 0.4441 0.0837 [8 per cell]  1 Au 2.82, 2 In 2.86-2.99
Au 0.0000 0.3385 0.5737 [8 per cell]  3 In 2.82-2.93, 1 Au 3.04

=====

# BaY2MnV

A relaxed structure of BaY2MnV (PBE, the Alexandria database).

Output
crystal system = tetragonal
calculated volume = 31.5 Å³/atom
DFT formation energy = 1389 meV/atom

Unit cell a=5.2349 b=5.2349 c=5.7446 alpha=90.00 beta=90.00 gamma=90.00
Closest atoms and distances in Å follow each position.
Space group P4/mmm (No. 123)
One atom of each set of equivalent atoms:
Ba 0.0000 0.0000 0.0000 [1 per cell]  2 V 2.87
Y 0.0000 0.5000 0.5000 [2 per cell]  2 V 2.62
Mn 0.5000 0.5000 0.0000 [1 per cell]  4 Ba 3.70, 8 Y 3.89
V 0.0000 0.0000 0.5000 [1 per cell]  4 Y 2.62, 2 Ba 2.87